Compound: MoPO7
Source: the Alexandria database
Functional: GGA+U
Structure: optimized geometry

Properties
- E_tot: -59.26 eV per formula unit
- Space group: No. 11

Lattice parameters (Å, degrees): 6.4980 6.8944 7.2613 72.58 90.00 90.00
Atoms (fractional coordinates):
O (0.7500, 0.5082, 0.6003)
O (0.7500, 0.1391, 0.9510)
O (0.7500, 0.4939, 0.2497)
O (0.2500, 0.5061, 0.7503)
O (0.2500, 0.4918, 0.3997)
O (0.7500, 0.9439, 0.6738)
O (0.2500, 0.7049, 0.6537)
O (0.0590, 0.2191, 0.6648)
O (0.4410, 0.2191, 0.6648)
O (0.5590, 0.7809, 0.3352)
O (0.7500, 0.2951, 0.3463)
O (0.9410, 0.7809, 0.3352)
O (0.2500, 0.8609, 0.0490)
O (0.2500, 0.0561, 0.3262)
P (0.7500, 0.6521, 0.3974)
P (0.2500, 0.3479, 0.6026)
Mo (0.7500, 0.1800, 0.7070)
Mo (0.2500, 0.8200, 0.2930)